A relaxed ReRuC2 crystal. Source: Alexandria, functional GGA-PBE.

Cell and atoms, written as POSCAR:
```
ReRuC2
1.0
-0.491 -2.815 0.568
2.009 0.037 1.922
-3.344 1.284 3.472
Re C Ru
1 2 1
Cartesian
-1.331 -0.991 1.411
-2.582 -0.107 4.713
-0.615 0.640 2.642
-2.761 1.060 2.866
```

Calculated values
Energy of formation = 1.83 eV/f.u.
SG = Pmm2 (25)
M_tot = 0.000 μB/atom
DFT total energy = -9.586 eV/atom
Offset from the most stable computed form = 0.1725 eV per atom



A relaxed ReRuC2 crystal. Source: Alexandria, functional GGA-PBE.

Cell and atoms, written as POSCAR:
```
ReRuC2
1.0
4.506 0.000 0.006
0.000 2.850 0.000
-1.444 0.000 6.749
Re C Ru
2 4 2
Cartesian
0.916 0.000 6.025
1.639 1.425 2.650
3.049 0.000 3.429
3.772 1.425 0.054
1.388 0.000 1.138
0.665 1.425 4.512
3.911 0.000 1.581
3.189 1.425 4.955
```

Calculated values
Energy of formation = 2.39 eV/f.u.
SG = Cm (8)
M_tot = 0.000 μB/atom
DFT total energy = -9.446 eV/atom
Offset from the most stable computed form = 0.3122 eV per atom



A relaxed ReRuC2 crystal. Source: Alexandria, functional GGA-PBE.

Cell and atoms, written as POSCAR:
```
ReRuC2
1.0
-0.848 -3.804 -2.478
2.805 -2.421 2.757
-2.584 -4.109 2.888
Re C Ru
2 4 2
Cartesian
0.000 0.000 0.000
-1.226 -5.512 0.275
-0.826 -3.711 -0.484
1.002 -3.012 2.138
-1.207 -5.414 2.268
-0.223 -8.530 2.413
0.979 -3.112 0.139
0.600 -4.821 2.892
```

Calculated values
Energy of formation = 2.43 eV/f.u.
SG = I-42d (122)
M_tot = 0.000 μB/atom
DFT total energy = -9.435 eV/atom
Offset from the most stable computed form = 0.3232 eV per atom



A relaxed ReRuC2 crystal. Source: Alexandria, functional GGA-PBE.

Cell and atoms, written as POSCAR:
```
ReRuC2
1.0
-2.720 0.764 -0.205
0.091 -0.422 -2.775
-2.813 -9.643 1.373
Re C Ru
2 4 2
Cartesian
-1.625 -5.571 0.793
-1.533 -0.578 -1.383
-1.126 -4.227 -0.816
-3.938 -8.455 1.156
-0.449 -1.539 0.219
-3.170 -6.189 -0.584
-2.291 -8.221 -0.247
-2.290 -2.807 0.351
```

Calculated values
Energy of formation = 1.88 eV/f.u.
SG = Imm2 (44)
M_tot = 0.000 μB/atom
DFT total energy = -9.573 eV/atom
Offset from the most stable computed form = 0.1847 eV per atom



- Which formula does entry 3 have?
  ReRuC2



- Among the records above, which one has the lowest energy of formation?
  number 1



- M_tot of number 2 (ReRuC2)?
  0.000 μB/atom